No. 1
VASP calculation (PBE) on crystalline La2Sm3Tm at its relaxed geometry.

```
La2Sm3Tm
1.0
5.752 0.000 0.000
0.000 9.976 0.000
0.000 0.000 7.132
La Sm Tm
4 6 2
Direct
0.500 0.833 0.252
0.500 0.167 0.748
0.000 0.667 0.752
0.000 0.333 0.248
0.500 0.168 0.249
0.500 0.500 0.500
0.000 0.332 0.749
0.000 0.000 0.000
0.000 0.668 0.251
0.500 0.832 0.751
0.500 0.500 0.000
0.000 0.000 0.500
```

Values from the calculation:
Energy relative to the lowest polymorph listed for this composition = 10 meV/atom
Raw total energy = -4.680 eV per atom
E_form = 0.07 eV per atom

***

No. 2
VASP calculation (PBE) on crystalline LaSmTm2 at its relaxed geometry.

```
LaSmTm2
1.0
4.961 0.000 0.000
0.000 5.133 0.000
0.000 0.000 5.133
Tm La Sm
2 1 1
Direct
0.000 0.500 0.000
0.000 0.000 0.500
0.500 0.000 0.000
0.500 0.500 0.500
```

Values from the calculation:
Energy relative to the lowest polymorph listed for this composition = 12 meV/atom
Raw total energy = -4.616 eV per atom
E_form = 0.03 eV per atom

***

No. 3
VASP calculation (PBE) on crystalline La3Sm12Tm at its relaxed geometry.

```
La3Sm12Tm
1.0
5.151 0.000 0.000
0.000 5.151 0.000
0.000 0.000 20.608
Sm La Tm
12 3 1
Direct
0.500 0.000 0.374
0.500 0.000 0.878
0.500 0.500 0.500
0.000 0.500 0.374
0.000 0.500 0.122
0.500 0.000 0.626
0.500 0.500 0.753
0.000 0.500 0.878
0.500 0.500 0.247
0.000 0.500 0.626
0.500 0.000 0.122
0.500 0.500 0.000
0.000 0.000 0.500
0.000 0.000 0.249
0.000 0.000 0.751
0.000 0.000 0.000
```

Values from the calculation:
Raw total energy = -4.723 eV per atom
E_form = 0.02 eV per atom

***

No. 4
VASP calculation (PBE) on crystalline La2Sm3Tm at its relaxed geometry.

```
La2Sm3Tm
1.0
9.138 0.287 0.676
0.706 6.741 0.193
0.462 -0.845 6.712
Sm La Tm
6 4 2
Direct
0.250 0.416 0.584
0.750 0.584 0.416
0.500 0.334 0.167
0.500 0.666 0.833
0.000 0.167 0.334
0.000 0.833 0.666
0.376 0.878 0.373
0.124 0.627 0.122
0.624 0.122 0.627
0.876 0.373 0.878
0.250 0.083 0.917
0.750 0.917 0.083
```

Values from the calculation:
Energy relative to the lowest polymorph listed for this composition = 0 meV/atom
Raw total energy = -4.690 eV per atom
E_form = 0.06 eV per atom

***

No. 5
VASP calculation (PBE) on crystalline La3SmTm7 at its relaxed geometry.

```
La3SmTm7
1.0
5.030 5.743 -0.841
-5.030 5.743 -0.841
0.000 1.385 6.212
Tm La Sm
7 3 1
Direct
0.760 0.760 0.206
0.908 0.573 0.736
0.240 0.240 0.794
0.092 0.427 0.264
0.573 0.908 0.736
0.427 0.092 0.264
0.500 0.500 0.000
0.181 0.819 0.000
0.000 0.000 0.500
0.819 0.181 0.000
0.500 0.500 0.500
```

Values from the calculation:
Energy relative to the lowest polymorph listed for this composition = 43 meV/atom
Raw total energy = -4.398 eV per atom
E_form = 0.22 eV per atom

***

No. 6
VASP calculation (PBE) on crystalline LaSm4Tm7 at its relaxed geometry.

```
LaSm4Tm7
1.0
-7.118 -0.090 0.881
0.765 0.315 6.173
-7.015 8.588 2.518
Tm Sm La
7 4 1
Direct
0.249 0.501 0.001
0.751 0.499 0.999
0.500 0.000 0.000
0.666 0.222 0.335
0.334 0.778 0.665
0.085 0.278 0.666
0.915 0.722 0.334
0.168 0.222 0.332
0.586 0.279 0.664
0.832 0.778 0.668
0.414 0.721 0.336
0.000 0.000 0.000
```

Values from the calculation:
Energy relative to the lowest polymorph listed for this composition = 0 meV/atom
Raw total energy = -4.581 eV per atom
E_form = 0.01 eV per atom

***

No. 7
VASP calculation (PBE) on crystalline LaSm4Tm10 at its relaxed geometry.

```
LaSm4Tm10
1.0
5.877 0.000 2.654
2.939 9.093 1.327
-0.803 0.000 9.615
Tm Sm La
10 4 1
Direct
0.380 0.577 0.163
0.250 0.500 0.500
0.043 0.837 0.577
0.457 0.163 0.423
0.543 0.837 0.577
0.880 0.577 0.163
0.750 0.500 0.500
0.620 0.423 0.837
0.120 0.423 0.837
0.957 0.163 0.423
0.568 0.105 0.759
0.673 0.759 0.895
0.327 0.241 0.105
0.432 0.895 0.241
0.000 0.000 0.000
```

Values from the calculation:
Raw total energy = -4.009 eV per atom
E_form = 0.56 eV per atom

***

No. 8
VASP calculation (PBE) on crystalline La2SmTm8 at its relaxed geometry.

```
La2SmTm8
1.0
5.035 0.000 0.000
0.000 7.921 0.464
-2.517 -2.884 8.574
Tm La Sm
8 2 1
Direct
0.043 0.727 0.087
0.411 0.546 0.823
0.865 0.825 0.730
0.135 0.175 0.270
0.320 0.094 0.639
0.589 0.454 0.177
0.957 0.273 0.913
0.680 0.906 0.361
0.227 0.637 0.455
0.773 0.363 0.545
0.500 0.000 0.000
```

Values from the calculation:
Raw total energy = -4.540 eV per atom
E_form = 0.04 eV per atom

***

No. 9
VASP calculation (PBE) on crystalline La4SmTm2 at its relaxed geometry.

```
La4SmTm2
1.0
6.987 0.000 0.000
3.494 8.284 -1.215
3.494 1.547 8.229
La Tm Sm
8 4 2
Direct
0.774 0.758 0.258
0.845 0.656 0.653
0.226 0.242 0.742
0.845 0.153 0.156
0.155 0.344 0.347
0.210 0.758 0.258
0.155 0.847 0.844
0.790 0.242 0.742
0.500 0.000 0.000
0.500 0.500 0.500
0.285 0.965 0.465
0.715 0.035 0.535
0.500 0.500 0.000
0.000 0.500 0.000
```

Values from the calculation:
Energy relative to the lowest polymorph listed for this composition = 159 meV/atom
Raw total energy = -4.537 eV per atom
E_form = 0.23 eV per atom

***

No. 10
VASP calculation (PBE) on crystalline La6Sm2Tm at its relaxed geometry.

```
La6Sm2Tm
1.0
-0.723 0.092 3.631
9.628 -2.703 1.984
7.636 6.619 1.353
La Sm Tm
6 2 1
Direct
0.000 0.493 0.836
0.000 0.164 0.507
0.500 0.681 0.319
0.000 0.507 0.164
0.500 0.319 0.681
0.000 0.836 0.493
0.500 0.829 0.829
0.500 0.171 0.171
0.000 0.000 0.000
```

Values from the calculation:
Energy relative to the lowest polymorph listed for this composition = 60 meV/atom
Raw total energy = -4.713 eV per atom
E_form = 0.12 eV per atom

***

No. 11
VASP calculation (PBE) on crystalline La6Sm4Tm at its relaxed geometry.

```
La6Sm4Tm
1.0
-6.614 -1.705 -1.501
2.258 -4.423 -4.924
2.471 -2.925 8.726
Sm La Tm
4 6 1
Direct
0.723 0.066 0.790
0.066 0.723 0.790
0.277 0.277 0.210
0.934 0.934 0.210
0.508 0.508 0.636
0.500 0.000 0.000
0.492 0.872 0.364
0.872 0.492 0.364
0.128 0.128 0.636
0.000 0.500 0.000
0.500 0.500 0.000
```

Values from the calculation:
Energy relative to the lowest polymorph listed for this composition = 157 meV/atom
Raw total energy = -4.551 eV per atom
E_form = 0.26 eV per atom

***

No. 12
VASP calculation (PBE) on crystalline La11Sm4Tm9 at its relaxed geometry.

```
La11Sm4Tm9
1.0
-3.373 0.618 1.453
-5.936 1.127 -14.264
-0.245 -14.449 5.580
Tm La Sm
9 11 4
Direct
0.500 0.835 0.367
0.500 0.212 0.066
0.500 0.165 0.633
0.500 0.934 0.788
0.500 0.367 0.835
0.500 0.500 0.500
0.500 0.788 0.934
0.500 0.633 0.165
0.500 0.066 0.212
0.000 0.159 0.841
0.000 0.044 0.406
0.000 0.594 0.956
0.000 0.956 0.594
0.000 0.367 0.633
0.000 0.290 0.290
0.000 0.710 0.710
0.000 0.841 0.159
0.000 0.406 0.044
0.000 0.633 0.367
0.000 0.000 0.000
0.500 0.757 0.555
0.500 0.445 0.243
0.500 0.243 0.445
0.500 0.555 0.757
```

Values from the calculation:
Raw total energy = -4.651 eV per atom
E_form = 0.07 eV per atom